VASP calculation (PBE) on crystalline In2GeO at its relaxed geometry.

Output
V = 18.62 Å³ per atom
Energy relative to the elements, uncorrected = 0.098 eV/atom
Energy = -14.66 eV per formula unit

abc: 6.679 6.679 6.679
angles: 90.00 90.00 90.00
Space group Fm-3m (No. 225)
Unique sites:
In 0.250 0.250 0.250 (multiplicity 8)
Ge 0.000 0.000 0.000 (multiplicity 4)
O 0.000 0.000 0.500 (multiplicity 4)

***

VASP calculation (PBE) on crystalline Li3Pr2ZrS6 at its relaxed geometry.

Output
V = 20.97 Å³ per atom
Energy relative to the elements, uncorrected = -1.653 eV/atom
Energy = -68.45 eV per formula unit

abc: 6.812 11.876 6.600
angles: 90.00 109.46 90.00
Space group C2/m (No. 12)
Unique sites:
Li 0.000 0.000 0.000 (multiplicity 2)
Li 0.000 0.351 0.000 (multiplicity 4)
Pr 0.000 0.169 0.500 (multiplicity 4)
Zr 0.000 0.500 0.500 (multiplicity 2)
S 0.230 0.500 0.250 (multiplicity 4)
S 0.238 0.347 0.757 (multiplicity 8)

***

VASP calculation (PBE) on crystalline Fe2AgH at its relaxed geometry.

Output
V = 11.55 Å³ per atom
Energy = -21.71 eV per formula unit

abc: 2.6634 2.6634 22.5682
angles: 90.00 90.00 120.00
Space group R-3m (No. 166, hexagonal axes)
Unique sites:
Fe 0.0000 0.0000 0.1177 (multiplicity 6)
Ag 0.0000 0.0000 0.0000 (multiplicity 3)
H 0.0000 0.0000 0.5000 (multiplicity 3)

***

VASP calculation (PBE) on crystalline MgCdAs2Se at its relaxed geometry.

Output
V = 25.49 Å³ per atom
Energy relative to the elements, uncorrected = 0.455 eV/atom
Energy = -13.02 eV per formula unit

abc: 5.003 5.003 5.090
angles: 90.00 90.00 90.00
Space group P4/mmm (No. 123)
Unique sites:
Mg 0.000 0.000 0.000 (multiplicity 1)
Cd 0.500 0.500 0.500 (multiplicity 1)
As 0.000 0.500 0.000 (multiplicity 2)
Se 0.000 0.000 0.500 (multiplicity 1)

***

- Among the records above, which one has the highest V?
  MgCdAs2Se